Crystalline U3Tl4GeTe8 at its relaxed geometry. Source: the Alexandria database, functional PBE-GGA.

Summary:
Formation energy from raw total energies = -7.36 eV per formula unit
Spin magnetization = 24.00 μB/cell

Geometry as CIF:
```
data_U3Tl4GeTe8
_chemical_formula_sum 'U9 Tl12 Ge3 Te24'
_space_group_name_H-M_alt 'R -3 m'
_space_group_IT_number 166
_space_group_name_Hall '-R 3 2"'
_cell_length_a 8.8971
_cell_length_b 8.8971
_cell_length_c 24.5784
_cell_angle_alpha 90.00
_cell_angle_beta 90.00
_cell_angle_gamma 120.00
loop_
_atom_site_label
_atom_site_type_symbol
_atom_site_fract_x
_atom_site_fract_y
_atom_site_fract_z
_atom_site_occupancy
U1 U 0.0000 0.5000 0.0000 1
Tl1 Tl 0.0000 0.0000 0.5000 1
Tl2 Tl 0.0000 0.5000 0.5000 1
Ge1 Ge 0.0000 0.0000 0.0000 1
Te1 Te 0.0000 0.0000 0.2610 1
Te2 Te 0.0043 0.5021 0.7366 1
```